Entry 1:
{
  "formula": "ThCu2P2",
  "functional": "PBE",
  "state": "relaxed",
  "lattice": [[4.023, 0.000, 0.000], [-2.011, 3.484, 0.000], [0.000, 0.000, 6.490]],
  "species": ["Th", "Cu", "Cu", "P", "P"],
  "fractional_positions": [[0.000, 0.000, 0.000], [0.333, 0.667, 0.638], [0.667, 0.333, 0.362], [0.333, 0.667, 0.267], [0.667, 0.333, 0.733]],
  "magnetic_moment_mub_per_cell": 0.00,
  "crystal_system": "trigonal",
  "delta_e_f_kj_per_mol_fu": -373,
  "volume_a3_per_atom": 18.190,
  "e_tot_ev_per_atom": -6.06
}

=====

Entry 2:
{
  "formula": "LiNbGe2",
  "functional": "PBE",
  "state": "relaxed",
  "lattice": [[3.030, 0.000, 0.000], [-1.515, 2.624, 0.000], [0.000, 0.000, 28.268]],
  "species": ["Li", "Li", "Li", "Nb", "Nb", "Nb", "Ge", "Ge", "Ge", "Ge", "Ge", "Ge"],
  "fractional_positions": [[0.000, 0.000, 0.000], [0.333, 0.667, 0.667], [0.667, 0.333, 0.333], [0.000, 0.000, 0.500], [0.333, 0.667, 0.167], [0.667, 0.333, 0.833], [0.000, 0.000, 0.089], [0.000, 0.000, 0.911], [0.333, 0.667, 0.578], [0.333, 0.667, 0.756], [0.667, 0.333, 0.244], [0.667, 0.333, 0.422]],
  "magnetic_moment_mub_per_cell": 0.00,
  "crystal_system": "trigonal",
  "delta_e_f_kj_per_mol_fu": -30,
  "volume_a3_per_atom": 18.729,
  "e_tot_ev_per_atom": -5.38,
  "de_polymorph_mev_per_atom": 119
}

=====

Entry 3:
{
  "formula": "Ba2CaGa2",
  "functional": "PBE",
  "state": "relaxed",
  "lattice": [[9.726, 0.000, 0.000], [0.000, 9.726, 0.000], [0.000, 0.000, 3.762]],
  "species": ["Ba", "Ba", "Ba", "Ba", "Ca", "Ca", "Ga", "Ga", "Ga", "Ga"],
  "fractional_positions": [[0.136, 0.364, 0.000], [0.364, 0.864, 0.000], [0.636, 0.136, 0.000], [0.864, 0.636, 0.000], [0.000, 0.000, 0.000], [0.500, 0.500, 0.000], [0.163, 0.663, 0.500], [0.337, 0.163, 0.500], [0.663, 0.837, 0.500], [0.837, 0.337, 0.500]],
  "magnetic_moment_mub_per_cell": 0.00,
  "crystal_system": "tetragonal",
  "delta_e_f_kj_per_mol_fu": -57,
  "volume_a3_per_atom": 35.594,
  "e_tot_ev_per_atom": -2.50,
  "de_polymorph_mev_per_atom": 195
}

=====

Entry 4:
{
  "formula": "Pr2Dy5Ho3",
  "functional": "PBE",
  "state": "relaxed",
  "lattice": [[5.310, -8.023, 0.000], [5.310, 8.023, 0.000], [-5.278, 0.000, 7.756]],
  "species": ["Pr", "Pr", "Pr", "Pr", "Dy", "Dy", "Dy", "Dy", "Dy", "Dy", "Dy", "Dy", "Dy", "Dy", "Ho", "Ho", "Ho", "Ho", "Ho", "Ho"],
  "fractional_positions": [[0.012, 0.268, 0.046], [0.268, 0.012, 0.546], [0.732, 0.988, 0.454], [0.988, 0.732, 0.954], [0.022, 0.978, 0.750], [0.151, 0.390, 0.784], [0.231, 0.769, 0.750], [0.390, 0.151, 0.284], [0.472, 0.528, 0.250], [0.528, 0.472, 0.750], [0.610, 0.849, 0.716], [0.769, 0.231, 0.250], [0.849, 0.610, 0.216], [0.978, 0.022, 0.250], [0.220, 0.463, 0.451], [0.275, 0.725, 0.250], [0.463, 0.220, 0.951], [0.537, 0.780, 0.049], [0.725, 0.275, 0.750], [0.780, 0.537, 0.549]],
  "magnetic_moment_mub_per_cell": 0.00,
  "crystal_system": "monoclinic",
  "delta_e_f_kj_per_mol_fu": 188,
  "volume_a3_per_atom": 33.044,
  "e_tot_ev_per_atom": -4.44,
  "de_polymorph_mev_per_atom": 0
}

=====

Entry 5:
{
  "formula": "CeNpGaTc",
  "functional": "PBE",
  "state": "relaxed",
  "lattice": [[6.751, 0.000, 0.000], [0.000, 6.751, 0.000], [0.000, 0.000, 6.751]],
  "species": ["Ce", "Ce", "Ce", "Ce", "Np", "Np", "Np", "Np", "Ga", "Ga", "Ga", "Ga", "Tc", "Tc", "Tc", "Tc"],
  "fractional_positions": [[0.000, 0.000, 0.000], [0.000, 0.500, 0.500], [0.500, 0.000, 0.500], [0.500, 0.500, 0.000], [0.250, 0.250, 0.750], [0.250, 0.750, 0.250], [0.750, 0.250, 0.250], [0.750, 0.750, 0.750], [0.250, 0.250, 0.250], [0.250, 0.750, 0.750], [0.750, 0.250, 0.750], [0.750, 0.750, 0.250], [0.000, 0.000, 0.500], [0.000, 0.500, 0.000], [0.500, 0.000, 0.000], [0.500, 0.500, 0.500]],
  "magnetic_moment_mub_per_cell": 15.45,
  "crystal_system": "cubic",
  "delta_e_f_kj_per_mol_fu": -24,
  "volume_a3_per_atom": 19.231,
  "e_tot_ev_per_atom": -8.13
}

=====

Entry 6:
{
  "formula": "Pu2CuPbO8",
  "functional": "PBE",
  "state": "relaxed",
  "lattice": [[5.043, 0.000, 0.000], [0.000, 6.930, 0.000], [-0.358, 0.000, 5.031]],
  "species": ["Pu", "Pu", "Cu", "Pb", "O", "O", "O", "O", "O", "O", "O", "O"],
  "fractional_positions": [[0.000, 0.241, 0.000], [0.000, 0.759, 0.000], [0.500, 0.000, 0.500], [0.500, 0.500, 0.500], [0.170, 0.500, 0.832], [0.178, 0.000, 0.824], [0.282, 0.220, 0.284], [0.282, 0.780, 0.284], [0.718, 0.220, 0.716], [0.718, 0.780, 0.716], [0.822, 0.000, 0.176], [0.830, 0.500, 0.168]],
  "magnetic_moment_mub_per_cell": 2.95,
  "crystal_system": "monoclinic",
  "formation_energy_uncorrected_ev_per_atom": -1.8953,
  "volume_a3_per_atom": 14.653,
  "e_tot_ev_per_atom": -8.24
}